Record 1
VASP calculation (GGA-PBE) on an optimized crystal structure of ThSe2ClO8.

a b c (Å): 6.2646 6.2646 6.3590
angles (deg): 90.00 90.00 120.00
Space group P-3m1 (No. 164)
Symmetry-distinct sites (fractional):
Th (0.0000, 0.0000, 0.0000) x1
Se (0.3333, 0.6667, 0.7292) x2
Cl (0.0000, 0.0000, 0.5000) x1
O (0.1907, 0.3814, 0.8356) x6
O (0.3333, 0.6667, 0.4748) x2

Output
**D(E_F)**: 8.30 states/eV/f.u.
**Total moment**: 1.112 μB/f.u.
**Crystal system**: trigonal
**Calculated volume**: 18.0 Å³ per atom
**Total DFT energy (no corrections)**: -5.873 eV/atom


Record 2
VASP calculation (GGA-PBE) on an optimized crystal structure of Zr2Al2Au.

a b c (Å): 6.640 6.640 4.317
angles (deg): 90.00 90.00 90.00
Space group P4/mbm (No. 127)
Symmetry-distinct sites (fractional):
Zr (0.164, 0.336, 0.000) x4
Al (0.137, 0.637, 0.500) x4
Au (0.000, 0.000, 0.500) x2

Output
**D(E_F)**: 1.73 states/eV/f.u.
**Total moment**: 0.000 μB/f.u.
**Crystal system**: tetragonal
**Calculated volume**: 19.0 Å³ per atom
**Offset from the most stable computed form**: 0.0 meV per atom
**Formation enthalpy at 0 K**: -0.58 eV per atom


Record 3
VASP calculation (GGA-PBE) on an optimized crystal structure of Na2LiMg.

a b c (Å): 3.829 3.829 7.759
angles (deg): 90.00 90.00 90.00
Space group P4/mmm (No. 123)
Symmetry-distinct sites (fractional):
Na (0.000, 0.000, 0.243) x2
Li (0.500, 0.500, 0.000) x1
Mg (0.500, 0.500, 0.500) x1

Output
**D(E_F)**: 2.15 states/eV/f.u.
**Total moment**: 0.000 μB/f.u.
**Crystal system**: tetragonal
**Calculated volume**: 28.4 Å³ per atom
**Formation enthalpy at 0 K**: 0.11 eV per atom


Record 4
VASP calculation (GGA-PBE) on an optimized crystal structure of TeAsBr.

a b c (Å): 15.089 3.987 6.944
angles (deg): 90.00 110.79 90.00
Space group C2/m (No. 12)
Symmetry-distinct sites (fractional):
Te (0.133, 0.000, 0.329) x4
As (0.248, 0.500, 0.262) x4
Br (0.126, 0.500, 0.818) x4

Output
**Total moment**: 0.000 μB/f.u.
**Crystal system**: monoclinic
**Calculated volume**: 32.5 Å³ per atom
**Total DFT energy (no corrections)**: -3.376 eV/atom


Record 5
VASP calculation (GGA-PBE) on an optimized crystal structure of Pr2AlNi9.

a b c (Å): 4.9143 4.9143 24.8746
angles (deg): 90.00 90.00 120.00
Space group R-3m (No. 166, hexagonal axes)
Symmetry-distinct sites (fractional):
Pr (0.0000, 0.0000, 0.1345) x6
Al (0.0000, 0.0000, 0.0000) x3
Ni (0.0000, 0.0000, 0.3328) x6
Ni (0.0000, 0.0000, 0.5000) x3
Ni (0.0006, 0.5003, 0.0786) x18

Output
**D(E_F)**: 11.93 states/eV/f.u.
**Total moment**: 1.026 μB/f.u.
**Crystal system**: trigonal
**Calculated volume**: 14.5 Å³ per atom
**Formation enthalpy at 0 K**: -0.16 eV per atom


Record 6
VASP calculation (GGA-PBE) on an optimized crystal structure of NpTi2Zn.

a b c (Å): 2.709 2.709 9.027
angles (deg): 90.00 90.00 90.00
Space group P4/mmm (No. 123)
Symmetry-distinct sites (fractional):
Np (0.000, 0.000, 0.000) x1
Ti (0.500, 0.500, 0.265) x2
Zn (0.000, 0.000, 0.500) x1

Output
**D(E_F)**: 7.22 states/eV/f.u.
**Total moment**: 0.871 μB/f.u.
**Crystal system**: tetragonal
**Calculated volume**: 16.6 Å³ per atom
**Offset from the most stable computed form**: 0.0 meV per atom
**Formation enthalpy at 0 K**: 0.07 eV per atom